(1)
5
Lattice="5.338 0.000 0.000 0.000 5.338 0.000 0.000 0.000 5.299" Properties=species:S:1:pos:R:3 comment="SnBiAs2Br, optimized geometry, DFT PBE" magnetic_moment_mub_per_cell=0.000 crystal_system=tetragonal sg="P4/mmm, No. 123" final_energy_ry_per_atom=-0.240 formation_energy_uncorrected_mev_per_atom=502.6 pbc="T T T"
Sn 0.000 0.000 0.000
Bi 2.669 2.669 2.649
As 0.000 2.669 0.000
As 2.669 0.000 0.000
Br 0.000 0.000 2.649

***

(2)
3
Lattice="3.448 0.000 0.000 -1.724 2.986 0.000 0.000 0.000 8.666" Properties=species:S:1:pos:R:3 comment="NdHoPa, optimized geometry, DFT PBE" magnetic_moment_mub_per_cell=0.000 delta_e_f_ev_per_fu=0.46 crystal_system=trigonal sg="P3m1, No. 156" final_energy_ry_per_atom=-0.450 pbc="T T T"
Nd 0.000 0.000 0.000
Ho 0.000 1.991 5.513
Pa 1.724 0.995 2.803

***

(3)
5
Lattice="4.259 0.000 0.000 0.000 4.259 0.000 0.000 0.000 3.758" Properties=species:S:1:pos:R:3 comment="TiRuNF2, optimized geometry, DFT PBE" magnetic_moment_mub_per_cell=2.169 crystal_system=tetragonal sg="P4/mmm, No. 123" final_energy_ry_per_atom=-0.457 formation_energy_uncorrected_mev_per_atom=-367.9 pbc="T T T"
Ti 0.000 0.000 0.000
Ru 2.130 2.130 1.879
N 2.130 2.130 0.000
F 0.000 2.130 1.879
F 2.130 0.000 1.879

***

(4)
4
Lattice="0.000 3.619 3.619 3.619 0.000 3.619 3.619 3.619 0.000" Properties=species:S:1:pos:R:3 comment="SmTmInRh, optimized geometry, DFT PBE" magnetic_moment_mub_per_cell=0.000 delta_e_f_ev_per_fu=-2.13 crystal_system=cubic sg="F-43m, No. 216" final_energy_ry_per_atom=-0.393 pbc="T T T"
Sm 0.000 0.000 0.000
Tm 3.619 3.619 3.619
In 5.429 5.429 5.429
Rh 1.810 1.810 1.810

***

(5)
12
Lattice="-2.893 6.302 2.887 2.893 -6.302 2.887 2.893 6.302 -2.887" Properties=species:S:1:pos:R:3 comment="Mg2CuGe2Pd, optimized geometry, DFT PBE" magnetic_moment_mub_per_cell=0.000 delta_e_f_ev_per_fu=-1.93 crystal_system=orthorhombic sg="Ibam, No. 72" final_energy_ry_per_atom=-0.290 pbc="T T T"
Mg 1.412 1.996 0.000
Mg 1.412 -1.996 2.887
Mg 1.481 8.298 0.000
Mg 1.481 4.306 2.887
Cu 2.893 0.000 1.444
Cu 0.000 6.302 1.444
Ge 4.276 1.566 0.000
Ge 1.383 4.736 0.000
Ge 1.509 1.566 2.887
Ge -1.383 4.736 2.887
Pd 0.000 0.000 1.444
Pd 0.000 0.000 4.331

***

(6)
5
Lattice="6.242 0.000 0.000 0.000 6.242 0.000 0.000 0.000 5.848" Properties=species:S:1:pos:R:3 comment="KLaYPb2, optimized geometry, DFT PBE" magnetic_moment_mub_per_cell=0.000 delta_e_f_ev_per_fu=2.05 crystal_system=tetragonal sg="P4/mmm, No. 123" final_energy_ry_per_atom=-0.263 pbc="T T T"
K 0.000 0.000 0.000
La 3.121 3.121 2.924
Y 3.121 3.121 0.000
Pb 0.000 3.121 2.924
Pb 3.121 0.000 2.924

***

(7)
4
Lattice="0.000 4.052 4.052 4.052 0.000 4.052 4.052 4.052 0.000" Properties=species:S:1:pos:R:3 comment="Tb2NdY, optimized geometry, DFT PBE" magnetic_moment_mub_per_cell=0.000 delta_e_f_ev_per_fu=0.56 crystal_system=cubic sg="Fm-3m, No. 225" final_energy_ry_per_atom=-0.366 pbc="T T T"
Tb 2.026 2.026 2.026
Tb 6.078 6.078 6.078
Nd 0.000 0.000 0.000
Y 4.052 4.052 4.052

***

(8)
6
Lattice="0.000 4.836 4.836 4.836 0.000 4.836 4.836 4.836 0.000" Properties=species:S:1:pos:R:3 comment="K4TaTe, optimized geometry, DFT PBE" magnetic_moment_mub_per_cell=4.994 crystal_system=cubic sg="F-43m, No. 216" final_energy_ry_per_atom=-0.173 formation_energy_uncorrected_mev_per_atom=879.7 pbc="T T T"
K 3.635 3.635 3.635
K 6.038 6.038 3.635
K 6.038 3.635 6.038
K 3.635 6.038 6.038
Ta 0.000 0.000 0.000
Te 7.255 7.255 7.255

***

(9)
14
Lattice="-4.929 4.929 5.166 4.929 -4.929 5.166 4.929 4.929 -5.166" Properties=species:S:1:pos:R:3 comment="Pr8Sm5Ho, optimized geometry, DFT PBE" magnetic_moment_mub_per_cell=0.000 delta_e_f_ev_per_fu=3.36 crystal_system=tetragonal sg="I-4, No. 82" final_energy_ry_per_atom=-0.331 pbc="T T T"
Pr 4.095 1.803 -0.038
Pr 0.675 1.696 1.608
Pr 3.126 -0.834 5.205
Pr 1.803 5.762 0.038
Pr -3.233 4.253 3.558
Pr 0.834 3.126 5.128
Pr 3.233 5.604 3.558
Pr -0.675 8.161 1.608
Sm 2.895 -1.046 1.805
Sm 5.975 -2.034 3.362
Sm 6.963 1.046 1.805
Sm 3.883 2.034 3.362
Sm 0.000 4.929 2.583
Ho 0.000 0.000 5.166

***

(10)
5
Lattice="5.134 0.000 0.000 0.000 5.134 0.000 0.000 0.000 5.241" Properties=species:S:1:pos:R:3 comment="Na2ZrInSi, optimized geometry, DFT PBE" magnetic_moment_mub_per_cell=1.095 crystal_system=tetragonal sg="P4/mmm, No. 123" final_energy_ry_per_atom=-0.222 formation_energy_uncorrected_mev_per_atom=847.1 pbc="T T T"
Na 0.000 2.567 0.000
Na 2.567 0.000 0.000
Zr 0.000 0.000 2.620
In 2.567 2.567 2.620
Si 2.567 2.567 0.000

***

(11)
4
Lattice="1.624 0.937 9.902 -1.624 0.937 9.902 0.000 -1.875 9.902" Properties=species:S:1:pos:R:3 comment="LuTiCd2, optimized geometry, DFT PBE" magnetic_moment_mub_per_cell=0.317 delta_e_f_ev_per_fu=0.33 crystal_system=trigonal sg="R-3m, No. 166" final_energy_ry_per_atom=-0.256 pbc="T T T"
Lu 0.000 0.000 0.000
Ti 0.000 0.000 14.853
Cd 0.000 0.000 7.274
Cd 0.000 0.000 22.433

***

(12)
5
Lattice="5.825 0.000 0.000 0.000 5.825 0.000 0.000 0.000 6.592" Properties=species:S:1:pos:R:3 comment="TlCd2BiF, optimized geometry, DFT PBE" magnetic_moment_mub_per_cell=0.000 crystal_system=tetragonal sg="P4/mmm, No. 123" final_energy_ry_per_atom=-0.152 formation_energy_uncorrected_mev_per_atom=-72.5 pbc="T T T"
Tl 0.000 0.000 0.000
Cd 0.000 2.912 3.296
Cd 2.912 0.000 3.296
Bi 0.000 0.000 3.296
F 2.912 2.912 0.000

***

(13)
10
Lattice="6.858 0.000 0.000 0.000 6.858 0.000 0.000 0.000 5.345" Properties=species:S:1:pos:R:3 comment="Ce2UPdS6, optimized geometry, DFT PBE" magnetic_moment_mub_per_cell=3.278 crystal_system=tetragonal sg="P4mm, No. 99" final_energy_ry_per_atom=-0.476 formation_energy_uncorrected_mev_per_atom=-1165.3 pbc="T T T"
Ce 0.000 3.429 0.000
Ce 3.429 0.000 0.000
U 0.000 0.000 3.362
Pd 3.429 3.429 3.502
S 0.000 0.000 0.760
S 1.753 1.753 3.753
S 1.753 5.104 3.753
S 3.429 3.429 0.954
S 5.104 1.753 3.753
S 5.104 5.104 3.753

***

(14)
4
Lattice="1.691 0.977 10.898 -1.691 0.977 10.898 0.000 -1.953 10.898" Properties=species:S:1:pos:R:3 comment="SmPu2Pa, optimized geometry, DFT PBE" magnetic_moment_mub_per_cell=11.170 delta_e_f_ev_per_fu=0.69 crystal_system=trigonal sg="R-3m, No. 166" final_energy_ry_per_atom=-0.775 pbc="T T T"
Sm 0.000 0.000 0.000
Pu 0.000 0.000 7.960
Pu 0.000 0.000 24.735
Pa 0.000 0.000 16.347

***

(15)
4
Lattice="0.000 3.712 3.712 3.712 0.000 3.712 3.712 3.712 0.000" Properties=species:S:1:pos:R:3 comment="NaTmAgBi, optimized geometry, DFT PBE" magnetic_moment_mub_per_cell=0.000 delta_e_f_ev_per_fu=-1.33 crystal_system=cubic sg="F-43m, No. 216" final_energy_ry_per_atom=-0.255 pbc="T T T"
Na 0.000 0.000 0.000
Tm 3.712 3.712 3.712
Ag 1.856 1.856 1.856
Bi 5.568 5.568 5.568

***

(16)
12
Lattice="3.058 -5.298 0.000 3.058 5.298 0.000 -2.030 0.000 6.299" Properties=species:S:1:pos:R:3 comment="K3NdTl2O6, optimized geometry, DFT PBE" magnetic_moment_mub_per_cell=0.000 crystal_system=monoclinic sg="C2/m, No. 12" final_energy_ry_per_atom=-0.374 formation_energy_uncorrected_mev_per_atom=-1537.8 pbc="T T T"
K 0.000 0.000 0.000
K 3.058 1.814 0.000
K 3.058 -1.814 0.000
Nd 2.043 0.000 3.149
Tl 2.043 3.536 3.149
Tl 2.043 -3.536 3.149
O 1.005 1.796 1.901
O -0.030 0.000 4.405
O 1.005 -1.796 1.901
O 3.081 1.796 4.397
O 4.116 0.000 1.894
O 3.081 -1.796 4.397

***

(17)
5
Lattice="4.223 0.000 0.000 0.000 4.223 0.000 0.000 0.000 4.634" Properties=species:S:1:pos:R:3 comment="BiBRhO2, optimized geometry, DFT PBE" magnetic_moment_mub_per_cell=1.169 crystal_system=tetragonal sg="P4/mmm, No. 123" final_energy_ry_per_atom=-0.336 formation_energy_uncorrected_mev_per_atom=996.1 pbc="T T T"
Bi 0.000 0.000 0.000
B 0.000 0.000 2.317
Rh 2.111 2.111 2.317
O 0.000 2.111 0.000
O 2.111 0.000 0.000

***

(18)
5
Lattice="5.487 0.000 0.000 0.000 5.487 0.000 0.000 0.000 5.487" Properties=species:S:1:pos:R:3 comment="SrScHg3, optimized geometry, DFT PBE" magnetic_moment_mub_per_cell=0.000 delta_e_f_ev_per_fu=-0.47 crystal_system=cubic sg="Pm-3m, No. 221" final_energy_ry_per_atom=-0.138 pbc="T T T"
Sr 0.000 0.000 0.000
Sc 2.743 2.743 2.743
Hg 0.000 2.743 2.743
Hg 2.743 0.000 2.743
Hg 2.743 2.743 0.000

***

(19)
12
Lattice="8.443 0.000 0.000 0.000 4.333 0.000 -4.093 0.000 11.136" Properties=species:S:1:pos:R:3 comment="Ac3NiHgBr, optimized geometry, DFT PBE" magnetic_moment_mub_per_cell=0.000 crystal_system=monoclinic sg="P2_1/m, No. 11" final_energy_ry_per_atom=-0.287 formation_energy_uncorrected_mev_per_atom=-555.4 pbc="T T T"
Ac 0.918 1.083 1.538
Ac 0.469 3.250 5.400
Ac -0.951 3.250 9.716
Ac 5.300 1.083 1.419
Ac 3.881 1.083 5.736
Ac 3.432 3.250 9.598
Ni -2.916 1.083 9.839
Ni 7.266 3.250 1.297
Hg 1.265 1.083 7.973
Hg 3.085 3.250 3.163
Br -2.536 3.250 6.911
Br 6.886 1.083 4.225

***

(20)
19
Lattice="6.362 -5.342 0.000 6.362 5.342 0.000 -1.740 0.000 8.273" Properties=species:S:1:pos:R:3 comment="Na12Cd2Hg5, optimized geometry, DFT PBE" magnetic_moment_mub_per_cell=0.000 delta_e_f_ev_per_fu=-2.73 crystal_system=monoclinic sg="C2/m, No. 12" final_energy_ry_per_atom=-0.085 pbc="T T T"
Na 0.837 1.798 6.710
Na 0.978 0.000 1.303
Na 3.931 2.535 5.030
Na 0.837 -1.798 6.710
Na 7.053 2.535 3.243
Na 4.523 0.000 1.960
Na 6.460 0.000 6.313
Na 3.931 -2.535 5.030
Na 10.146 1.798 1.563
Na 7.053 -2.535 3.243
Na 10.006 0.000 6.970
Na 10.146 -1.798 1.563
Cd 6.362 2.416 0.000
Cd 6.362 -2.416 0.000
Hg -0.870 0.000 4.137
Hg 2.202 0.000 4.177
Hg 3.363 0.000 7.020
Hg 7.621 0.000 1.253
Hg 8.782 0.000 4.096

***

(21)
5
Lattice="4.122 0.000 0.000 0.000 4.122 0.000 0.000 0.000 4.711" Properties=species:S:1:pos:R:3 comment="SrGeRhN2, optimized geometry, DFT PBE" magnetic_moment_mub_per_cell=1.551 crystal_system=tetragonal sg="P4/mmm, No. 123" final_energy_ry_per_atom=-0.392 formation_energy_uncorrected_mev_per_atom=723.6 pbc="T T T"
Sr 0.000 0.000 0.000
Ge 2.061 2.061 2.355
Rh 2.061 2.061 0.000
N 0.000 2.061 2.355
N 2.061 0.000 2.355

***

(22)
6
Lattice="4.928 0.000 0.000 -2.464 4.268 0.000 0.000 0.000 4.598" Properties=species:S:1:pos:R:3 comment="ZnP5, optimized geometry, DFT PBE" magnetic_moment_mub_per_cell=0.000 delta_e_f_ev_per_fu=4.07 crystal_system=hexagonal sg="P6/mmm, No. 191" final_energy_ry_per_atom=-0.297 pbc="T T T"
Zn 0.000 0.000 0.000
P -1.232 2.134 2.299
P 0.000 2.845 0.000
P 2.464 0.000 2.299
P 1.232 2.134 2.299
P 2.464 1.423 0.000

***

(23)
10
Lattice="6.052 0.000 0.000 0.000 6.052 0.000 0.000 0.000 2.746" Properties=species:S:1:pos:R:3 comment="LiB2Rh2, optimized geometry, DFT PBE" magnetic_moment_mub_per_cell=0.000 delta_e_f_ev_per_fu=-1.79 crystal_system=tetragonal sg="P4/mbm, No. 127" final_energy_ry_per_atom=-0.467 pbc="T T T"
Li 0.000 0.000 0.000
Li 3.026 3.026 0.000
B 0.693 2.333 0.000
B 2.333 5.360 0.000
B 3.719 0.693 0.000
B 5.360 3.719 0.000
Rh 1.056 4.082 1.373
Rh 1.970 1.056 1.373
Rh 4.082 4.997 1.373
Rh 4.997 1.970 1.373

***

(24)
4
Lattice="5.607 -1.406 0.000 5.607 1.406 0.000 -1.860 0.000 4.200" Properties=species:S:1:pos:R:3 comment="CaOs2Ru, optimized geometry, DFT PBE" magnetic_moment_mub_per_cell=0.000 delta_e_f_ev_per_fu=1.72 crystal_system=monoclinic sg="C2/m, No. 12" final_energy_ry_per_atom=-0.588 pbc="T T T"
Ca 0.000 0.000 0.000
Os 1.107 0.000 3.014
Os 8.249 0.000 1.186
Ru 4.678 0.000 2.100

***

(25)
4
Lattice="0.000 3.228 3.228 3.228 0.000 3.228 3.228 3.228 0.000" Properties=species:S:1:pos:R:3 comment="Li2SmIr, optimized geometry, DFT PBE" magnetic_moment_mub_per_cell=0.000 delta_e_f_ev_per_fu=-0.57 crystal_system=cubic sg="Fm-3m, No. 225" final_energy_ry_per_atom=-0.330 pbc="T T T"
Li 1.614 1.614 1.614
Li 4.842 4.842 4.842
Sm 0.000 0.000 0.000
Ir 3.228 3.228 3.228